[1]
# Zn2TcRh (PBEsol, optimized geometry)
# - Formation enthalpy at 0 K: 0.02 eV per atom
# - E above lowest polymorph: 1.8 kJ/mol of atoms
data_Zn2TcRh
_chemical_formula_sum 'Zn2 Tc1 Rh1'
_cell_length_a 2.6502
_cell_length_b 4.2489
_cell_length_c 4.8686
_cell_angle_alpha 90.00
_cell_angle_beta 96.54
_cell_angle_gamma 90.00
_space_group_name_H-M_alt 'P 1 2/m 1'
_space_group_IT_number 10
loop_
_space_group_symop_operation_xyz
'x,y,z'
'-x,-y,-z'
'-x,y,-z'
'x,-y,z'
loop_
_atom_site_label
_atom_site_fract_x
_atom_site_fract_y
_atom_site_fract_z
Zn1 0.2088 0.0000 0.2504
Tc1 0.5000 0.5000 0.0000
Rh1 0.0000 0.5000 0.5000



[2]
# Zn2TcRh (PBEsol, optimized geometry)
# - Formation enthalpy at 0 K: 0.00 eV per atom
# - E above lowest polymorph: 0.0 kJ/mol of atoms
data_Zn2TcRh
_chemical_formula_sum 'Zn2 Tc1 Rh1'
_cell_length_a 2.8952
_cell_length_b 2.8952
_cell_length_c 6.3603
_cell_angle_alpha 90.00
_cell_angle_beta 90.00
_cell_angle_gamma 90.00
_space_group_name_H-M_alt 'P 4/m m m'
_space_group_IT_number 123
_space_group_name_Hall '-P 4 2'
loop_
_atom_site_label
_atom_site_fract_x
_atom_site_fract_y
_atom_site_fract_z
Zn1 0.0000 0.0000 0.2395
Tc1 0.5000 0.5000 0.5000
Rh1 0.5000 0.5000 0.0000



[3]
# ZnTc2Rh (PBEsol, optimized geometry)
# - Formation enthalpy at 0 K: 0.04 eV per atom
data_ZnTc2Rh
_chemical_formula_sum 'Zn3 Tc6 Rh3'
_cell_length_a 2.6784
_cell_length_b 2.6784
_cell_length_c 26.4415
_cell_angle_alpha 90.00
_cell_angle_beta 90.00
_cell_angle_gamma 120.00
_space_group_name_H-M_alt 'R -3 m'
_space_group_IT_number 166
_space_group_name_Hall '-R 3 2"'
loop_
_atom_site_label
_atom_site_fract_x
_atom_site_fract_y
_atom_site_fract_z
Zn1 0.0000 0.0000 0.0000
Tc1 0.0000 0.0000 0.2488
Rh1 0.0000 0.0000 0.5000



[4]
# Zn2TcRh (PBEsol, optimized geometry)
# - Formation enthalpy at 0 K: 0.05 eV per atom
# - E above lowest polymorph: 4.7 kJ/mol of atoms
data_Zn2TcRh
_chemical_formula_sum 'Zn2 Tc1 Rh1'
_cell_length_a 2.7584
_cell_length_b 4.3772
_cell_length_c 4.5417
_cell_angle_alpha 90.00
_cell_angle_beta 90.00
_cell_angle_gamma 90.00
_space_group_name_H-M_alt 'P m m m'
_space_group_IT_number 47
loop_
_space_group_symop_operation_xyz
'x,y,z'
'-x,-y,-z'
'-x,-y,z'
'x,y,-z'
'x,-y,-z'
'-x,y,z'
'-x,y,-z'
'x,-y,z'
loop_
_atom_site_label
_atom_site_fract_x
_atom_site_fract_y
_atom_site_fract_z
Zn1 0.0000 0.0000 0.0000
Zn2 0.5000 0.0000 0.5000
Tc1 0.0000 0.5000 0.5000
Rh1 0.5000 0.5000 0.0000



[5]
# Zn3TcRh (PBEsol, optimized geometry)
# - Formation enthalpy at 0 K: 1.02 eV per atom
data_Zn3TcRh
_chemical_formula_sum 'Zn3 Tc1 Rh1'
_cell_length_a 4.5537
_cell_length_b 4.5537
_cell_length_c 4.5537
_cell_angle_alpha 90.00
_cell_angle_beta 90.00
_cell_angle_gamma 90.00
_space_group_name_H-M_alt 'P m -3 m'
_space_group_IT_number 221
_space_group_name_Hall '-P 4 2 3'
loop_
_atom_site_label
_atom_site_fract_x
_atom_site_fract_y
_atom_site_fract_z
Zn1 0.0000 0.0000 0.5000
Tc1 0.5000 0.5000 0.5000
Rh1 0.0000 0.0000 0.0000



[6]
# ZnTc2Rh (PBEsol, optimized geometry)
# - Formation enthalpy at 0 K: -0.06 eV per atom
data_ZnTc2Rh
_chemical_formula_sum 'Zn1 Tc2 Rh1'
_cell_length_a 2.7510
_cell_length_b 2.7510
_cell_length_c 7.2046
_cell_angle_alpha 90.00
_cell_angle_beta 90.00
_cell_angle_gamma 90.00
_space_group_name_H-M_alt 'P 4 m m'
_space_group_IT_number 99
loop_
_space_group_symop_operation_xyz
'x,y,z'
'-y,x,z'
'-x,-y,z'
'y,-x,z'
'-x,y,z'
'y,x,z'
'x,-y,z'
'-y,-x,z'
loop_
_atom_site_label
_atom_site_fract_x
_atom_site_fract_y
_atom_site_fract_z
Zn1 0.0000 0.0000 0.0000
Tc1 0.0000 0.0000 0.4943
Tc2 0.5000 0.5000 0.7400
Rh1 0.5000 0.5000 0.2404



[7]
# TeRh7 (PBEsol, optimized geometry)
# - ΔE_f (raw): -0.028 eV per atom
data_TeRh7
_chemical_formula_sum 'Te4 Rh28'
_cell_length_a 7.6838
_cell_length_b 7.6838
_cell_length_c 7.6838
_cell_angle_alpha 90.00
_cell_angle_beta 90.00
_cell_angle_gamma 90.00
_space_group_name_H-M_alt 'F m -3 m'
_space_group_IT_number 225
_space_group_name_Hall '-F 4 2 3'
loop_
_atom_site_label
_atom_site_fract_x
_atom_site_fract_y
_atom_site_fract_z
Te1 0.0000 0.0000 0.0000
Rh1 0.0000 0.0000 0.5000
Rh2 0.0000 0.2500 0.2500



[8]
# TeRh (PBEsol, optimized geometry)
# - ΔE_f (raw): -0.275 eV per atom
data_TeRh
_chemical_formula_sum 'Te2 Rh2'
_cell_length_a 3.5345
_cell_length_b 3.5345
_cell_length_c 6.5690
_cell_angle_alpha 90.00
_cell_angle_beta 90.00
_cell_angle_gamma 90.00
_space_group_name_H-M_alt 'P 4/n m m'
_space_group_IT_number 129
loop_
_space_group_symop_operation_xyz
'x,y,z'
'-x,-y,-z'
'-y+1/2,x,z'
'y+1/2,-x,-z'
'-x+1/2,-y+1/2,z'
'x+1/2,y+1/2,-z'
'y,-x+1/2,z'
'-y,x+1/2,-z'
'x+1/2,-y,-z'
'-x+1/2,y,z'
'-y,-x,-z'
'y,x,z'
'-x,y+1/2,-z'
'x,-y+1/2,z'
'y+1/2,x+1/2,-z'
'-y+1/2,-x+1/2,z'
loop_
_atom_site_label
_atom_site_fract_x
_atom_site_fract_y
_atom_site_fract_z
Te1 0.2500 0.2500 0.2299
Rh1 0.2500 0.2500 0.6212



[9]
# Te8Rh3 (PBEsol, optimized geometry)
# - ΔE_f (raw): -0.387 eV per atom
data_Te8Rh3
_chemical_formula_sum 'Te24 Rh9'
_cell_length_a 9.1156
_cell_length_b 9.1156
_cell_length_c 10.8888
_cell_angle_alpha 90.00
_cell_angle_beta 90.00
_cell_angle_gamma 120.00
_space_group_name_H-M_alt 'R -3'
_space_group_IT_number 148
_space_group_name_Hall '-R 3'
loop_
_atom_site_label
_atom_site_fract_x
_atom_site_fract_y
_atom_site_fract_z
Te1 0.0000 0.0000 0.1325
Te2 0.0032 0.2507 0.6199
Rh1 0.0000 0.5000 0.5000



[10]
# TeRh (PBEsol, optimized geometry)
# - ΔE_f (raw): -0.008 eV per atom
data_TeRh
_chemical_formula_sum 'Te1 Rh1'
_cell_length_a 3.8057
_cell_length_b 3.8057
_cell_length_c 3.2008
_cell_angle_alpha 90.00
_cell_angle_beta 90.00
_cell_angle_gamma 120.00
_space_group_name_H-M_alt 'P -6 m 2'
_space_group_IT_number 187
_space_group_name_Hall 'P -6 2'
loop_
_atom_site_label
_atom_site_fract_x
_atom_site_fract_y
_atom_site_fract_z
Te1 0.0000 0.0000 0.0000
Rh1 0.6667 0.3333 0.5000



[11]
# TeRh (PBEsol, optimized geometry)
# - ΔE_f (raw): -0.329 eV per atom
data_TeRh
_chemical_formula_sum 'Te2 Rh2'
_cell_length_a 4.0070
_cell_length_b 4.0070
_cell_length_c 5.5908
_cell_angle_alpha 90.00
_cell_angle_beta 90.00
_cell_angle_gamma 120.00
_space_group_name_H-M_alt 'P 63/m m c'
_space_group_IT_number 194
_space_group_name_Hall '-P 6c 2c'
loop_
_atom_site_label
_atom_site_fract_x
_atom_site_fract_y
_atom_site_fract_z
Te1 0.3333 0.6667 0.2500
Rh1 0.0000 0.0000 0.0000



[12]
# Te2Rh3 (PBEsol, optimized geometry)
# - ΔE_f (raw): -0.271 eV per atom
data_Te2Rh3
_chemical_formula_sum 'Te8 Rh12'
_cell_length_a 3.7041
_cell_length_b 12.3391
_cell_length_c 7.6997
_cell_angle_alpha 90.00
_cell_angle_beta 90.00
_cell_angle_gamma 90.00
_space_group_name_H-M_alt 'C m c m'
_space_group_IT_number 63
_space_group_name_Hall '-C 2c 2'
loop_
_atom_site_label
_atom_site_fract_x
_atom_site_fract_y
_atom_site_fract_z
Te1 0.0000 0.0000 0.0000
Te2 0.0000 0.2529 0.2500
Rh1 0.0000 0.3388 0.5599
Rh2 0.0000 0.4646 0.2500



[13]
# Te16Rh9 (PBEsol, optimized geometry)
# - ΔE_f (raw): -0.412 eV per atom
data_Te16Rh9
_chemical_formula_sum 'Te16 Rh9'
_cell_length_a 8.6400
_cell_length_b 7.8606
_cell_length_c 8.6658
_cell_angle_alpha 90.00
_cell_angle_beta 103.89
_cell_angle_gamma 90.00
_space_group_name_H-M_alt 'P 1 2/m 1'
_space_group_IT_number 10
loop_
_space_group_symop_operation_xyz
'x,y,z'
'-x,-y,-z'
'-x,y,-z'
'x,-y,z'
loop_
_atom_site_label
_atom_site_fract_x
_atom_site_fract_y
_atom_site_fract_z
Te1 0.0376 0.0000 0.2009
Te2 0.0488 0.5000 0.2152
Te3 0.2143 0.2522 0.5480
Te4 0.2971 0.2547 0.9668
Te5 0.4465 0.0000 0.2860
Te6 0.4585 0.5000 0.2922
Rh1 0.0000 0.0000 0.5000
Rh2 0.0000 0.2575 0.0000
Rh3 0.2453 0.5000 0.7548
Rh4 0.2639 0.0000 0.7642
Rh5 0.5000 0.2425 0.5000



[14]
# Tl2TeRh (PBEsol, optimized geometry)
# - ΔE_f (raw): -0.046 eV per atom
# - E above lowest polymorph: 0.0 kJ/mol of atoms
data_Tl2TeRh
_chemical_formula_sum 'Tl6 Te3 Rh3'
_cell_length_a 3.8409
_cell_length_b 3.8409
_cell_length_c 23.3337
_cell_angle_alpha 90.00
_cell_angle_beta 90.00
_cell_angle_gamma 120.00
_space_group_name_H-M_alt 'R 3 m'
_space_group_IT_number 160
_space_group_name_Hall 'R 3 -2"'
loop_
_atom_site_label
_atom_site_fract_x
_atom_site_fract_y
_atom_site_fract_z
Tl1 0.0000 0.0000 0.0000
Tl2 0.0000 0.0000 0.2364
Te1 0.0000 0.0000 0.7750
Rh1 0.0000 0.0000 0.4970



E across the listed records, respectively: -5.620 -5.638 -8.028 -5.590 -3.810 -8.124 -7.590 -6.108 -5.172 -5.841 -6.161 -6.565 -5.598 -4.277 eV/atom.